A relaxed LiAlInAu crystal, computed with PBE-GGA.

* ρ: 8.1 g/cm³
* distance to the lowest polymorph of the same formula: 0.00 eV/f.u.

abc: 4.647 4.647 4.647
angles: 60.00 60.00 60.00
Element x y z (fractional)
1 Au 0.750 0.750 0.750
2 Li 0.000 0.000 0.000
3 Al 0.500 0.500 0.500
4 In 0.250 0.250 0.250

A relaxed Y3MgZn2Ir3 crystal, computed with PBE-GGA.

* ρ: 9.3 g/cm³
* spin magnetization: 0.00 μB/atom

abc: 3.992 7.160 7.160
angles: 119.81 90.00 90.00
Element x y z (fractional)
1 Ir 0.000 0.993 0.993
2 Mg 0.500 0.241 0.241
3 Y 0.000 0.995 0.412
4 Zn 0.500 0.756 0.004
5 Y 0.000 0.412 0.995
6 Ir 0.500 0.666 0.333
7 Ir 0.500 0.333 0.666
8 Y 0.000 0.600 0.600
9 Zn 0.500 0.004 0.756

| no. | E_tot (eV for the cell shown) |
| --- | --- |
| 1 | -12.741 |
| 2 | -56.131 |